Entry from the Alexandria database: a relaxed structure of Sb2Au (PBE).

The space group is P-3m1 (No. 164) and the conventional cell measures 4.1772, 4.1772 and 5.0672 Å, with angles of 90.00, 90.00 and 120.00 degrees. The distinct sites, in fractional coordinates, are Sb at (0.3333, 0.6667, 0.2916) and Au at (0.0000, 0.0000, 0.0000).

The calculation puts the volume at 76.57 Å³/f.u. The uncorrected energy is -3.89 eV per atom.

=====

Entry from the Alexandria database: a relaxed structure of Sm2SiPb (PBE).

The space group is P4/mmm (No. 123) and the conventional cell measures 3.4347, 3.4347 and 8.8089 Å, with angles of 90.00, 90.00 and 90.00 degrees. The distinct sites, in fractional coordinates, are Sm at (0.0000, 0.0000, 0.2176), Si at (0.5000, 0.5000, 0.0000) and Pb at (0.5000, 0.5000, 0.5000).

For the energy above the most stable polymorph in this dataset, the calculation gives 0 meV/atom. The calculation puts the volume at 103.92 Å³/f.u. The uncorrected energy is -5.14 eV per atom.

=====

Entry from the Alexandria database: a relaxed structure of AlSb2IF (PBE).

The space group is P4/mmm (No. 123) and the conventional cell measures 5.2722, 5.2722 and 5.4342 Å, with angles of 90.00, 90.00 and 90.00 degrees. The distinct sites, in fractional coordinates, are Al at (0.0000, 0.0000, 0.0000), Sb at (0.0000, 0.5000, 0.0000), I at (0.0000, 0.0000, 0.5000) and F at (0.5000, 0.5000, 0.5000).

For the energy above the most stable polymorph in this dataset, the calculation gives 146 meV/atom. The calculation puts the volume at 151.05 Å³/f.u. The uncorrected energy is -2.93 eV per atom.

=====

Number 1: D(E_F) 0.4208 states/eV per atom, raw formation energy -45 meV per atom. Number 2: D(E_F) 0.8663 states/eV per atom, raw formation energy -494 meV per atom. Number 3: D(E_F) 0.6696 states/eV per atom, raw formation energy 154 meV per atom.